# Ca2TlSnO5

An optimized crystal structure of Ca2TlSnO5 (PBE-GGA, the Alexandria database).

Cell and atoms, written as CIF:
```
data_Ca2TlSnO5
_chemical_formula_sum 'Ca8 Tl4 Sn4 O20'
_cell_length_a 3.314
_cell_length_b 13.430
_cell_length_c 12.471
_cell_angle_alpha 90.00
_cell_angle_beta 90.00
_cell_angle_gamma 90.00
_space_group_name_H-M_alt 'C m c 21'
_space_group_IT_number 36
_space_group_name_Hall 'C 2c -2'
loop_
_atom_site_label
_atom_site_fract_x
_atom_site_fract_y
_atom_site_fract_z
_atom_site_occupancy
Ca1 0.000 0.048 0.000 1
Ca2 0.000 0.167 0.597 1
Tl1 0.000 0.451 0.768 1
Sn1 0.000 0.262 0.369 1
O1 0.000 0.109 0.390 1
O2 0.000 0.233 0.994 1
O3 0.000 0.245 0.762 1
O4 0.000 0.412 0.383 1
O5 0.000 0.458 0.102 1
```

Its uncorrected formation energy is -17.28 eV/f.u. Its total DFT energy (no corrections) is -52.44 eV/f.u.